1.
VASP calculation (PBE) on Hf2NbCdBr after structural relaxation.

Summary:
Its density is 7.41 Mg/m³. For the formation energy from raw total energies, the calculation gives 0.887 eV per atom. Its total energy is -28.13 eV per cell.

a = 5.0854 Å, b = 5.0854 Å, c = 5.5620 Å
α = 90.00°, β = 90.00°, γ = 90.00°
Closest atoms and distances in Å follow each position.
Space group P4/mmm (No. 123)
Unique sites:
Hf: 0.0000 0.5000 0.0000  2 Nb 2.54
Nb: 0.0000 0.0000 0.0000  4 Hf 2.54, 2 Cd 2.78
Cd: 0.0000 0.0000 0.5000  2 Nb 2.78
Br: 0.5000 0.5000 0.5000  4 Cd 3.60, 8 Hf 3.77



2.
VASP calculation (PBE) on HfCd2BrO after structural relaxation.

Summary:
Its density is 6.53 Mg/m³. For the formation energy from raw total energies, the calculation gives -0.527 eV per atom. Its total energy is -21.05 eV per cell.

a = 5.6900 Å, b = 5.6900 Å, c = 3.9231 Å
α = 90.00°, β = 90.00°, γ = 90.00°
Closest atoms and distances in Å follow each position.
Space group P4/mmm (No. 123)
Unique sites:
Hf: 0.0000 0.0000 0.0000  2 O 1.96
Cd: 0.0000 0.5000 0.5000  2 O 2.85
Br: 0.5000 0.5000 0.0000  8 Cd 3.46
O: 0.0000 0.0000 0.5000  2 Hf 1.96



3.
VASP calculation (PBE) on Rb2HfCdBr6 after structural relaxation.

Summary:
Its density is 3.61 Mg/m³. For the formation energy from raw total energies, the calculation gives -1.316 eV per atom. Its total energy is -143.99 eV per cell.

a = 12.0124 Å, b = 12.0124 Å, c = 12.0124 Å
α = 90.00°, β = 90.00°, γ = 90.00°
Closest atoms and distances in Å follow each position.
Space group Fm-3m (No. 225)
Unique sites:
Rb: 0.2500 0.2500 0.2500  12 Br 4.26
Hf: 0.0000 0.0000 0.0000  6 Br 2.63
Cd: 0.0000 0.0000 0.5000  6 Br 3.38
Br: 0.0000 0.0000 0.2188  1 Hf 2.63



4.
VASP calculation (PBE) on HfTaCd2Br after structural relaxation.

Summary:
Its density is 8.54 Mg/m³. For the formation energy from raw total energies, the calculation gives 1.409 eV per atom. Its total energy is -18.26 eV per cell.

a = 5.1304 Å, b = 5.1304 Å, c = 4.9050 Å
α = 90.00°, β = 90.00°, γ = 90.00°
Closest atoms and distances in Å follow each position.
Space group P4/mmm (No. 123)
Unique sites:
Hf: 0.0000 0.0000 0.0000  2 Br 2.45
Ta: 0.5000 0.5000 0.0000  8 Cd 3.55, 4 Hf 3.63
Cd: 0.0000 0.5000 0.5000  2 Br 2.57
Br: 0.0000 0.0000 0.5000  2 Hf 2.45, 4 Cd 2.57



5.
VASP calculation (PBE) on Hf2VCdBr after structural relaxation.

Summary:
Its density is 7.94 Mg/m³. The relative energy among the computed polymorphs is 0 kJ/mol of formula units. For the formation energy from raw total energies, the calculation gives 0.716 eV per atom. Its total energy is -28.04 eV per cell.

a = 4.8503 Å, b = 4.8503 Å, c = 5.3383 Å
α = 90.00°, β = 90.00°, γ = 90.00°
Closest atoms and distances in Å follow each position.
Space group P4/mmm (No. 123)
Unique sites:
Hf: 0.0000 0.5000 0.0000  2 V 2.43
V: 0.0000 0.0000 0.0000  4 Hf 2.43, 2 Cd 2.67
Cd: 0.0000 0.0000 0.5000  2 V 2.67
Br: 0.5000 0.5000 0.5000  4 Cd 3.43, 8 Hf 3.61



6.
VASP calculation (PBE) on Hf2VCdBr after structural relaxation.

Summary:
Its density is 7.08 Mg/m³. The relative energy among the computed polymorphs is 320 kJ/mol of formula units. For the formation energy from raw total energies, the calculation gives 1.379 eV per atom. Its total energy is -24.72 eV per cell.

a = 5.2743 Å, b = 5.2743 Å, c = 5.0616 Å
α = 90.00°, β = 90.00°, γ = 90.00°
Closest atoms and distances in Å follow each position.
Space group P4/mmm (No. 123)
Unique sites:
Hf: 0.0000 0.5000 0.0000  2 Cd 2.64
V: 0.0000 0.0000 0.5000  2 Cd 2.53
Cd: 0.0000 0.0000 0.0000  2 V 2.53, 4 Hf 2.64
Br: 0.5000 0.5000 0.5000  8 Hf 3.66, 4 V 3.73



7.
VASP calculation (PBE) on HfZnCdBr2 after structural relaxation.

Summary:
Its density is 4.99 Mg/m³. For the formation energy from raw total energies, the calculation gives 0.672 eV per atom. Its total energy is -12.13 eV per cell.

a = 5.3890 Å, b = 5.3890 Å, c = 5.9143 Å
α = 90.00°, β = 90.00°, γ = 90.00°
Closest atoms and distances in Å follow each position.
Space group P4/mmm (No. 123)
Unique sites:
Hf: 0.0000 0.0000 0.0000  2 Cd 2.96
Zn: 0.5000 0.5000 0.0000  4 Hf 3.81, 8 Br 4.00
Cd: 0.0000 0.0000 0.5000  4 Br 2.69, 2 Hf 2.96
Br: 0.0000 0.5000 0.5000  2 Cd 2.69



8.
VASP calculation (PBE) on Cd2HgBr6 after structural relaxation.

Summary:
Its density is 4.29 Mg/m³. For the formation energy from raw total energies, the calculation gives -0.695 eV per atom. Its total energy is -73.70 eV per cell.

a = 14.7860 Å, b = 14.9459 Å, c = 6.9802 Å
α = 90.00°, β = 114.65°, γ = 90.00°
Closest atoms and distances in Å follow each position.
Space group C2/c (No. 15)
Unique sites:
Cd: 0.2081 0.0811 0.3537  4 Br 2.63-2.67
Hg: 0.0000 0.2999 0.2500  4 Br 2.65-2.73
Br: 0.1040 0.4082 0.5840  1 Cd 2.63, 1 Hg 2.73
Br: 0.1233 0.2226 0.1134  1 Hg 2.65, 1 Cd 2.67
Br: 0.1480 0.0760 0.6590  2 Cd 2.63-2.67



9.
VASP calculation (PBE) on Cd2Hg2Br after structural relaxation.

Summary:
Its density is 8.79 Mg/m³. The relative energy among the computed polymorphs is 22 kJ/mol of formula units. For the formation energy from raw total energies, the calculation gives -0.068 eV per atom. Its total energy is -8.90 eV per cell.

a = 8.5207 Å, b = 8.5207 Å, c = 3.6745 Å
α = 90.00°, β = 90.00°, γ = 90.00°
Closest atoms and distances in Å follow each position.
Space group P4/mbm (No. 127)
Unique sites:
Cd: 0.1810 0.3190 0.0000  6 Hg 2.97-3.23
Hg: 0.1257 0.6257 0.5000  6 Cd 2.97-3.23, 1 Hg 3.03
Br: 0.0000 0.0000 0.5000  4 Hg 3.36, 8 Cd 3.63, 2 Br 3.67



10.
VASP calculation (PBE) on CdHg3Br8 after structural relaxation.

Summary:
Its density is 5.61 Mg/m³. For the formation energy from raw total energies, the calculation gives -0.520 eV per atom. Its total energy is -42.89 eV per cell.

a = 14.5086 Å, b = 8.1100 Å, c = 8.2467 Å
α = 90.00°, β = 124.31°, γ = 90.00°
Closest atoms and distances in Å follow each position.
Space group C2/m (No. 12)
Unique sites:
Cd: 0.0000 0.0000 0.0000  6 Br 2.81-2.87
Hg: 0.0000 0.5000 0.0000  6 Br 2.81-2.99
Hg: 0.2500 0.2500 0.0000  6 Br 2.80-2.97
Br: 0.0026 0.2497 0.7664  1 Cd 2.81, 2 Hg 2.81-2.97
Br: 0.2393 0.0000 0.2318  2 Hg 2.85, 1 Cd 2.87
Br: 0.2495 0.5000 0.2339  3 Hg 2.80-2.99



11.
VASP calculation (PBE) on Cd2Hg2Br after structural relaxation.

Summary:
Its density is 8.88 Mg/m³. The relative energy among the computed polymorphs is 0 kJ/mol of formula units. For the formation energy from raw total energies, the calculation gives -0.113 eV per atom. Its total energy is -9.35 eV per cell.

a = 8.4112 Å, b = 8.4112 Å, c = 3.7300 Å
α = 90.00°, β = 90.00°, γ = 90.00°
Closest atoms and distances in Å follow each position.
Space group P4/mbm (No. 127)
Unique sites:
Cd: 0.1440 0.3560 0.0000  6 Hg 3.00-3.16, 2 Br 3.23
Hg: 0.1584 0.6584 0.5000  6 Cd 3.00-3.16
Br: 0.0000 0.0000 0.0000  4 Cd 3.23



12.
VASP calculation (PBE) on Cd5Hg3Br12 after structural relaxation.

Summary:
Its density is 5.18 Mg/m³. For the formation energy from raw total energies, the calculation gives -0.573 eV per atom. Its total energy is -296.16 eV per cell.

a = 17.5899 Å, b = 17.5899 Å, c = 17.5899 Å
α = 90.00°, β = 90.00°, γ = 90.00°
Closest atoms and distances in Å follow each position.
Space group Ia-3d (No. 230)
Unique sites:
Cd: 0.0000 0.0000 0.0000  6 Br 2.83
Cd: 0.0000 0.2500 0.3750  4 Br 2.65
Hg: 0.0000 0.2500 0.1250  8 Br 3.44-3.45
Br: 0.0308 0.0574 0.6471  2 Cd 2.65-2.83